First-principles (PBE) data for a geometry-optimized Hg2BiSbPb4 structure, as listed in Alexandria via LeMat-Bulk.

Cell and atoms, written as extended XYZ:
```
8
Lattice="4.5272 0.0000 0.0000 0.0000 7.8541 0.1063 0.0000 -2.7515 7.3432" Properties=species:S:1:pos:R:3 pbc="T T T"
Hg 2.2636 -1.3757 3.6716
Hg 0.0000 2.5513 3.7248
Bi 0.0000 0.0000 0.0000
Sb 2.2636 3.9271 0.0532
Pb 2.2636 1.3428 1.8660
Pb 2.2636 3.7598 5.5836
Pb 0.0000 -0.0253 5.5779
Pb 0.0000 5.1279 1.8716
```

Summary:
E = -22.98 eV per cell
N(E_F) = 3.648 states/eV/f.u.
space group = P2/m, No. 10

***

First-principles (PBE) data for a geometry-optimized Zr10Zn3Bi3 structure, as listed in Alexandria via LeMat-Bulk.

Cell and atoms, written as extended XYZ:
```
16
Lattice="5.7825 0.0000 0.0000 0.0000 7.2987 -4.2139 0.0000 0.0000 8.4278" Properties=species:S:1:pos:R:3 pbc="T T T"
Zr 1.3704 4.8658 0.0000
Zr 1.3704 2.4329 4.2139
Zr 4.4121 2.4329 4.2139
Zr 4.4121 4.8658 0.0000
Zr 2.8912 0.0000 6.4516
Zr 2.8912 5.5873 -3.2258
Zr 2.8912 1.7114 0.9881
Zr 0.0000 0.0000 2.0230
Zr 0.0000 1.7519 -1.0115
Zr 0.0000 5.5468 3.2024
Zn 0.0000 0.0000 5.1564
Zn 0.0000 4.4655 -2.5782
Zn 0.0000 2.8332 1.6357
Bi 2.8912 0.0000 3.3622
Bi 2.8912 2.9117 -1.6811
Bi 2.8912 4.3870 2.5328
```

Summary:
ΔE_f = -4.244 eV per formula unit
E = -105.19 eV per cell
N(E_F) = 8.258 states/eV/f.u.
space group = P-62m, No. 189

***

First-principles (PBE) data for a geometry-optimized YAsPtSe2 structure, as listed in Alexandria via LeMat-Bulk.

Cell and atoms, written as extended XYZ:
```
5
Lattice="-2.3017 -4.4508 1.7657 4.6642 -1.6409 1.9437 -1.1171 2.4676 4.7639" Properties=species:S:1:pos:R:3 pbc="T T T"
Y 0.0000 0.0000 0.0000
As -0.5586 1.2338 2.3820
Se 2.3321 -0.8205 0.9719
Se -1.1508 -2.2254 0.8828
Pt 0.6227 -1.8121 4.2366
```

Summary:
E = -21.26 eV per cell
N(E_F) = 6.509 states/eV/f.u.
space group = P4/mmm, No. 123
energy above the lowest structure with this stoichiometry = 877 meV/atom

***

First-principles (PBE) data for a geometry-optimized CaHoPu2As4 structure, as listed in Alexandria via LeMat-Bulk.

Cell and atoms, written as extended XYZ:
```
8
Lattice="4.1571 0.0000 0.0000 0.0000 7.1301 -0.1186 0.0000 2.5333 6.7582" Properties=species:S:1:pos:R:3 pbc="T T T"
Ca 2.0786 6.0984 6.6989
Ho 0.0000 4.8317 3.3198
Pu 0.0000 2.5333 6.7582
Pu 2.0786 1.2667 3.3791
As 0.0001 7.3151 4.9105
As 4.1571 2.3483 1.7291
As 2.0786 6.0336 1.6202
As 2.0786 3.6298 5.0194
```

Summary:
ΔE_f = -9.204 eV per formula unit
E = -63.05 eV per cell
N(E_F) = 23.819 states/eV/f.u.
space group = P2/m, No. 10

***

First-principles (PBE) data for a geometry-optimized Sc12Cd3O5 structure, as listed in Alexandria via LeMat-Bulk.

Cell and atoms, written as extended XYZ:
```
80
Lattice="12.5620 0.0000 0.0000 -4.1873 11.8436 0.0000 -4.1873 -5.9218 10.2568" Properties=species:S:1:pos:R:3 pbc="T T T"
Cd 7.3278 3.7011 1.2821
Cd 7.3278 8.1424 1.2821
Cd -1.0468 5.1816 6.4105
Cd 1.0468 -0.7402 3.8463
Cd 9.4215 0.0000 2.5642
Cd 1.0468 5.9218 2.5642
Cd 3.1405 0.0000 7.6926
Cd -5.2342 5.9218 7.6926
Cd 3.1405 6.6620 6.4105
Cd 5.2342 0.7402 3.8463
Cd -3.1405 -2.2207 8.9747
Cd -3.1405 2.2207 8.9747
O -1.0468 2.9609 2.5642
O -2.0937 5.9218 0.0000
O 0.0000 0.0000 0.0000
O 3.1405 2.2207 1.2821
O 4.1873 -2.9609 5.1284
O 4.1873 5.9218 0.0000
O -3.1405 6.6620 3.8463
O 5.2342 -3.7011 8.9747
O 5.2342 5.1816 3.8463
O 1.0468 -2.9609 7.6926
O 3.1405 8.8827 2.5642
O 2.0937 2.9609 5.1284
O 6.2810 0.0000 0.0000
O -2.0937 -2.9609 5.1284
O -1.0468 0.7402 6.4105
O -1.0468 9.6229 1.2821
O -4.1873 2.9609 5.1284
O 7.3278 -0.7402 6.4105
O 1.0468 3.7011 8.9747
O 5.2342 2.9609 7.6926
Sc 8.2603 1.1844 0.0439
Sc 0.1143 3.5911 4.1246
Sc 9.5570 2.8943 3.1484
Sc 5.0987 1.6814 1.0477
Sc 1.6367 4.1293 7.0645
Sc 9.2144 5.9631 1.9361
Sc -1.1823 7.1347 4.1961
Sc -3.0050 10.1622 1.0477
Sc 0.4569 7.7142 7.0645
Sc 5.4413 5.8805 1.9361
Sc 6.3953 3.5151 4.0807
Sc 6.3953 10.6591 0.0439
Sc -3.7304 5.2218 5.1723
Sc 2.9334 4.2244 0.9323
Sc -4.3017 8.3284 4.0807
Sc 2.2080 -2.3307 6.1322
Sc -0.4569 1.0925 1.9800
Sc 2.9334 7.5779 1.0038
Sc 5.0987 8.9493 3.1484
Sc -0.8397 4.2657 1.0038
Sc -2.5506 7.0143 8.2769
Sc 3.2760 4.7089 4.1961
Sc 5.8241 6.6217 5.1723
Sc 5.0271 -1.6974 9.3245
Sc 0.9114 1.2129 6.0607
Sc -1.6368 -0.6999 5.0846
Sc -0.8397 7.6192 0.9323
Sc -0.9113 -3.0275 7.1084
Sc 6.7379 -1.0925 1.9800
Sc 5.0271 1.6561 9.2530
Sc 1.2539 -1.6561 9.2530
Sc 1.9793 8.2525 4.1246
Sc 4.6443 4.8293 8.2769
Sc 8.4890 -2.4067 6.1761
Sc 7.9177 0.6999 5.0846
Sc -2.2080 -4.7374 10.2130
Sc 1.2539 1.6974 9.3245
Sc 3.7304 -1.7924 3.1923
Sc -1.2539 0.0413 8.3207
Sc -2.2080 2.4067 6.1761
Sc 7.1924 -4.2404 9.2091
Sc 5.3697 -1.2129 6.0607
Sc -0.9113 4.2404 9.2091
Sc -5.0271 -0.0413 8.3207
Sc 2.5506 1.7924 3.1923
Sc -5.3697 3.0275 7.1084
Sc 4.0730 2.3307 6.1322
Sc -4.0730 4.7373 10.2130
```

Summary:
E = -531.07 eV per cell
N(E_F) = 17.214 states/eV/f.u.
space group = Ia-3d, No. 230

***

First-principles (PBE) data for a geometry-optimized CaTmZnAu structure, as listed in Alexandria via LeMat-Bulk.

Cell and atoms, written as extended XYZ:
```
4
Lattice="3.6074 0.0000 0.0000 0.0000 3.6074 0.0000 0.0000 0.0000 7.1552" Properties=species:S:1:pos:R:3 pbc="T T T"
Ca 1.8037 1.8037 0.7719
Tm 1.8037 1.8037 4.3674
Zn 0.0000 0.0000 2.7122
Au 0.0000 0.0000 5.9435
```

Summary:
ΔE_f = -2.291 eV per formula unit
E = -13.32 eV per cell
N(E_F) = 3.301 states/eV/f.u.
space group = P4mm, No. 99
energy above the lowest structure with this stoichiometry = 0 meV/atom

***

First-principles (PBE) data for a geometry-optimized NbCuSn3 structure, as listed in Alexandria via LeMat-Bulk.

Cell and atoms, written as extended XYZ:
```
5
Lattice="5.3763 0.0000 0.0000 0.0000 5.3763 0.0000 0.0000 0.0000 5.3763" Properties=species:S:1:pos:R:3 pbc="T T T"
Nb 0.0000 0.0000 0.0000
Sn 0.0000 2.6881 0.0000
Sn 0.0000 0.0000 2.6881
Sn 2.6881 0.0000 0.0000
Cu 2.6881 2.6881 2.6881
```

Summary:
ΔE_f = 3.460 eV per formula unit
E = -22.71 eV per cell
N(E_F) = 3.548 states/eV/f.u.
space group = Pm-3m, No. 221
energy above the lowest structure with this stoichiometry = 0 meV/atom

***

First-principles (PBE) data for a geometry-optimized CaThHg14 structure, as listed in Alexandria via LeMat-Bulk.

Cell and atoms, written as extended XYZ:
```
16
Lattice="6.7997 -0.0122 0.0000 0.0167 6.7997 0.0000 0.0000 0.0000 8.7960" Properties=species:S:1:pos:R:3 pbc="T T T"
Ca 2.5562 2.5454 4.3980
Th 5.9643 5.9390 4.3980
Hg 5.9644 5.9391 0.0000
Hg 2.5561 2.5453 0.0000
Hg 5.9561 2.5392 4.3980
Hg 5.9560 2.5392 0.0000
Hg 2.5645 5.9452 4.3980
Hg 2.5645 5.9452 0.0000
Hg 4.2377 0.8566 2.1580
Hg 4.2377 0.8566 6.6379
Hg 0.8746 4.2341 2.1580
Hg 0.8746 4.2341 6.6379
Hg 4.2471 4.2291 2.1587
Hg 4.2471 4.2291 6.6372
Hg 0.8652 0.8616 2.1588
Hg 0.8652 0.8616 6.6371
```

Summary:
ΔE_f = -2.212 eV per formula unit
E = -15.86 eV per cell
N(E_F) = 5.278 states/eV/f.u.
space group = P4/mmm, No. 123